1.
4
Lattice="-1.271 2.153 -4.600 -2.703 -2.767 -3.528 -4.984 1.227 -1.028" Properties=species:S:1:pos:R:3 comment="AcThCuSi | the Alexandria database | PBE | relaxed" crystal_system=cubic dos_at_fermi_per_ev_cell=4.30 e_form_raw_mev_per_atom=-184 pbc="T T T"
Ac 0.000 0.000 0.000
Si -2.239 0.153 -2.289
Cu -6.718 0.460 -6.867
Th -4.479 0.307 -4.578

=====

2.
18
Lattice="8.588 0.000 0.000 0.000 8.588 0.000 -4.294 -4.294 8.243" Properties=species:S:1:pos:R:3 comment="Nd2Sm5HoTm | the Alexandria database | PBE | relaxed" crystal_system=tetragonal delta_e_f_kj_per_mol_fu=241 dos_at_fermi_per_ev_cell=26.26 pbc="T T T"
Nd 1.038 3.257 0.000
Nd 5.332 1.038 0.000
Nd 3.257 7.551 0.000
Nd 7.551 5.332 0.000
Sm 6.723 2.429 2.356
Sm 2.429 -1.865 5.887
Sm -2.429 1.865 5.887
Sm -1.865 -2.429 5.887
Sm 1.865 2.429 5.887
Sm 6.159 6.723 2.356
Sm 2.429 1.865 2.356
Sm 1.865 6.159 2.356
Sm 4.294 4.294 0.000
Sm 0.000 0.000 0.000
Ho 0.000 0.000 4.122
Ho 4.294 4.294 4.122
Tm 0.000 4.294 4.122
Tm 4.294 0.000 4.122

=====

3.
14
Lattice="-2.865 1.790 -4.562 -5.080 -0.988 2.333 2.658 5.710 3.154" Properties=species:S:1:pos:R:3 comment="BPdF5 | the Alexandria database | PBE | relaxed" crystal_system=monoclinic e_form_raw_mev_per_atom=-2080 pbc="T T T"
B -1.630 5.122 0.164
B -3.657 1.391 0.762
Pd 0.000 0.000 0.000
Pd 1.329 2.855 1.577
F -2.408 5.855 1.013
F -2.879 0.658 -0.087
F -1.260 3.877 0.585
F -4.028 2.635 0.340
F -2.821 3.627 3.874
F -2.466 2.885 -2.949
F -0.378 5.858 -0.161
F -4.909 0.655 1.086
F -2.362 5.037 -1.128
F -2.925 1.476 2.054

=====

4.
16
Lattice="5.857 -0.139 0.075 -1.843 5.561 0.075 -1.582 -2.137 6.686" Properties=species:S:1:pos:R:3 comment="NaPdBrO5 | the Alexandria database | PBE | relaxed" crystal_system=monoclinic dos_at_fermi_per_ev_cell=5.04 e_form_raw_mev_per_atom=-179 pbc="T T T"
Na 0.289 3.156 1.747
Na 2.143 0.129 5.090
Pd -0.791 -1.068 3.343
Pd 0.000 0.000 0.000
Br 2.900 1.223 1.747
Br -0.468 2.062 5.090
O -1.584 4.543 1.747
O 4.017 -1.258 5.090
O 4.396 1.283 0.756
O -1.964 2.003 6.081
O 3.280 -0.225 2.738
O -0.847 3.511 4.099
O 2.391 2.540 3.027
O 0.041 0.745 3.810
O 1.491 1.325 0.467
O 0.941 1.960 6.370

=====

5.
5
Lattice="-4.817 -1.580 1.385 -1.041 -1.217 -5.005 1.825 -4.862 0.803" Properties=species:S:1:pos:R:3 comment="RbHfGe3 | the Alexandria database | PBE | relaxed" crystal_system=cubic polymorph_energy_mev_per_atom=1855 delta_e_f_kj_per_mol_fu=916 dos_at_fermi_per_ev_cell=6.50 pbc="T T T"
Ge -0.520 -0.608 -2.503
Ge 0.913 -2.431 0.401
Ge -2.408 -0.790 0.693
Hf -2.016 -3.829 -1.409
Rb 0.000 0.000 0.000

=====

6.
15
Lattice="-4.337 6.963 -0.292 -3.429 -7.024 -1.194 2.535 1.889 7.391" Properties=species:S:1:pos:R:3 comment="Na3Ce3BeS8 | the Alexandria database | PBE | relaxed" crystal_system=monoclinic dos_at_fermi_per_ev_cell=13.97 e_form_raw_mev_per_atom=-1444 pbc="T T T"
Na 0.000 0.000 0.000
Na -1.714 -3.512 -0.597
Na -3.883 -0.030 -0.743
Ce -0.901 4.426 3.549
Ce -2.615 0.914 2.952
Ce -0.447 -2.567 3.098
Be 1.267 0.944 3.695
S -2.146 -1.282 1.279
S -3.085 3.111 4.625
S -4.850 1.877 1.412
S -0.380 -0.048 4.492
S -2.611 5.566 1.755
S -2.620 -3.738 4.149
S -0.567 2.284 1.893
S -4.664 -0.456 4.011

=====

7.
6
Lattice="1.473 5.798 0.006 -1.473 5.798 0.006 0.000 1.885 7.371" Properties=species:S:1:pos:R:3 comment="Mg5Ta | the Alexandria database | PBE | relaxed" crystal_system=monoclinic delta_e_f_kj_per_mol_fu=111 dos_at_fermi_per_ev_cell=3.19 pbc="T T T"
Mg 0.000 1.878 7.285
Mg 0.000 4.499 2.331
Mg 0.000 9.086 4.961
Mg 0.000 7.606 2.064
Mg 0.000 12.043 4.617
Ta 0.000 4.966 7.036

=====

8.
5
Lattice="-2.644 1.109 -4.076 4.382 -0.707 -3.035 -1.161 -4.814 -0.556" Properties=species:S:1:pos:R:3 comment="HfP2CI | the Alexandria database | PBE | relaxed" crystal_system=tetragonal dos_at_fermi_per_ev_cell=5.19 e_form_raw_mev_per_atom=2813 pbc="T T T"
I 0.000 0.000 0.000
P -0.581 -2.407 -0.278
P -1.322 0.554 -2.038
C 0.289 -2.206 -3.833
Hf 2.191 -0.353 -1.517

=====

9.
20
Lattice="-3.319 -5.703 -2.958 4.059 -5.160 6.207 -5.416 -0.177 7.229" Properties=species:S:1:pos:R:3 comment="BaErS3 | the Alexandria database | PBE | relaxed" crystal_system=monoclinic dos_at_fermi_per_ev_cell=0.00 e_form_raw_mev_per_atom=-1769 pbc="T T T"
Ba 1.954 -5.915 5.605
Ba -6.629 -5.126 4.873
Ba -2.956 -3.333 6.135
Ba -1.720 -7.708 4.343
Er -4.183 -8.643 7.652
Er -2.871 -4.872 1.425
Er -0.493 -2.398 2.826
Er -1.805 -6.169 9.053
S -3.939 -7.598 10.173
S -4.012 -5.444 -0.999
S -0.737 -3.442 0.305
S -0.664 -5.597 11.477
S -6.546 -7.420 7.219
S -5.103 -3.678 2.353
S 1.870 -3.621 3.259
S 0.427 -7.363 8.125
S -3.133 -6.369 6.761
S -3.999 -7.105 2.324
S -1.543 -4.672 3.717
S -0.677 -3.936 8.154

=====

no.,magnetic moment (μB per formula unit),V (Å³/atom)
1,0.0,25.4
2,0.0,33.8
3,0.1,14.8
4,0.5,13.6
5,0.0,29.0
6,1.1,24.5
7,0.0,21.0
8,0.4,26.7
9,0.0,28.2